Here is Zr2SiCl after structural relaxation from the Alexandria database. Energies are from PBE-GGA.

abc: 10.204 10.204 10.204
angles: 18.76 18.76 18.76
Fractional positions:
Cl: 0.523 0.523 0.523
Si: 0.731 0.731 0.731
Zr: 0.249 0.249 0.249
Zr: 0.997 0.997 0.997

Its energy relative to the elements, uncorrected is -1.5 eV per formula unit. The uncorrected energy comes out at -6.4766 eV per atom. As for the spin magnetization: 0.00 μB per formula unit.